[1]
In4Sn3O12 (PBEsol, optimized geometry); SG = No. 2
1.0
6.194 0.000 0.000
-1.027 6.203 0.000
-2.086 -2.431 12.104
In Sn O
8 6 24
direct
0.106 0.135 0.406
0.185 0.393 0.684
0.202 0.395 0.185
0.362 0.686 0.948
0.638 0.314 0.052
0.798 0.605 0.815
0.815 0.607 0.316
0.894 0.865 0.594
0.103 0.141 0.908
0.359 0.678 0.448
0.494 0.994 0.748
0.506 0.006 0.252
0.641 0.322 0.552
0.897 0.859 0.092
0.075 0.415 0.841
0.084 0.836 0.962
0.088 0.820 0.460
0.095 0.424 0.342
0.179 0.055 0.707
0.182 0.046 0.201
0.312 0.409 0.037
0.329 0.425 0.543
0.411 0.699 0.289
0.418 0.681 0.779
0.433 0.098 0.904
0.455 0.107 0.411
0.545 0.893 0.589
0.567 0.902 0.096
0.582 0.319 0.221
0.589 0.301 0.711
0.671 0.575 0.457
0.688 0.591 0.963
0.818 0.954 0.799
0.821 0.945 0.293
0.905 0.576 0.658
0.912 0.180 0.540
0.916 0.164 0.038
0.925 0.585 0.159

=====

[2]
In4Sn3O12 (PBEsol, optimized geometry); SG = No. 1
1.0
6.223 0.000 0.000
-1.027 6.204 0.000
-2.017 -2.468 12.034
In Sn O
8 6 24
direct
0.000 0.000 0.000
0.002 0.002 0.505
0.088 0.259 0.280
0.252 0.554 0.044
0.537 0.180 0.650
0.705 0.471 0.913
0.708 0.474 0.416
0.789 0.730 0.695
0.085 0.262 0.780
0.254 0.547 0.545
0.395 0.868 0.846
0.399 0.866 0.347
0.531 0.188 0.147
0.789 0.731 0.192
0.081 0.913 0.293
0.083 0.935 0.808
0.217 0.299 0.643
0.219 0.277 0.137
0.295 0.553 0.873
0.305 0.557 0.382
0.342 0.972 0.502
0.350 0.955 0.010
0.438 0.776 0.684
0.459 0.758 0.191
0.473 0.184 0.818
0.490 0.177 0.311
0.564 0.453 0.557
0.574 0.442 0.058
0.708 0.805 0.885
0.718 0.811 0.387
0.800 0.040 0.141
0.808 0.448 0.253
0.826 0.443 0.757
0.827 0.046 0.645
0.966 0.692 0.060
0.979 0.285 0.933
0.983 0.684 0.557
0.988 0.289 0.439

=====

[3]
InSnO2 (PBEsol, optimized geometry); SG = No. 166; Fermi-level density of states = 0.16 states/eV/atom
1.0
1.640 0.947 6.784
-1.640 0.947 6.784
0.000 -1.893 6.784
In Sn O
1 1 2
direct
0.000 0.000 0.000
0.500 0.500 0.500
0.388 0.388 0.388
0.612 0.612 0.612

=====

Number 1: final energy -0.229 hartree per atom. Number 2: final energy -0.229 hartree per atom. Number 3: final energy -0.210 hartree per atom.